[1]
First-principles (PBE-GGA) data for crystalline HfFePd6 at its relaxed geometry, as listed in Alexandria via LeMat-Bulk.

Properties
The calculation puts the formation enthalpy at 0 K at -0.141 eV/atom. The space group is C2/m (12). The calculation puts the polymorph energy (0 for the lowest one) at 350 meV per atom.

a b c (Å): 4.700 4.700 7.255
angles (deg): 106.50 106.50 69.22
Fractional positions:
Hf  0.000  0.000  0.000
Fe  0.500  0.500  0.500
Pd  0.056  0.567  0.203
Pd  0.150  0.150  0.441
Pd  0.433  0.944  0.797
Pd  0.567  0.056  0.203
Pd  0.850  0.850  0.559
Pd  0.944  0.433  0.797


[2]
First-principles (PBE-GGA) data for crystalline K2LiZn at its relaxed geometry, as listed in Alexandria via LeMat-Bulk.

Properties
The calculation puts the formation enthalpy at 0 K at 0.094 eV/atom. The space group is R3m (160).

a b c (Å): 9.377 9.377 9.377
angles (deg): 29.18 29.18 29.18
Fractional positions:
K  0.000  0.000  0.000
K  0.186  0.186  0.186
Li  0.760  0.760  0.760
Zn  0.426  0.426  0.426


[3]
First-principles (PBE-GGA) data for crystalline AlIn2Ag at its relaxed geometry, as listed in Alexandria via LeMat-Bulk.

Properties
The calculation puts the formation enthalpy at 0 K at 0.208 eV/atom. The space group is F-43m (216).

a b c (Å): 5.025 5.025 5.025
angles (deg): 60.00 60.00 60.00
Fractional positions:
Al  0.000  0.000  0.000
In  0.500  0.500  0.500
In  0.750  0.750  0.750
Ag  0.250  0.250  0.250


[4]
First-principles (PBE-GGA) data for crystalline LaNdAg2 at its relaxed geometry, as listed in Alexandria via LeMat-Bulk.

Properties
The calculation puts the formation enthalpy at 0 K at -0.258 eV/atom. The space group is P4/mmm (123).

a b c (Å): 3.785 3.785 7.597
angles (deg): 90.00 90.00 90.00
Fractional positions:
La  0.000  0.000  0.000
Nd  0.000  0.000  0.500
Ag  0.500  0.500  0.260
Ag  0.500  0.500  0.740


[5]
First-principles (PBE-GGA) data for crystalline ZnSb2P at its relaxed geometry, as listed in Alexandria via LeMat-Bulk.

Properties
The raw formation energy comes out at 226 meV per atom. The space group is P2/m (10). The calculation puts the polymorph energy (0 for the lowest one) at 133 meV per atom.

a b c (Å): 2.999 3.901 8.005
angles (deg): 90.00 98.60 90.00
Fractional positions:
Zn  0.000  0.000  0.000
Sb  0.103  0.500  0.748
Sb  0.897  0.500  0.252
P  0.000  0.000  0.500


[6]
First-principles (PBE-GGA) data for crystalline Tm2Ga6Cu3 at its relaxed geometry, as listed in Alexandria via LeMat-Bulk.

Properties
The calculation puts the formation enthalpy at 0 K at -0.373 eV/atom. The space group is P-62m (189).

a b c (Å): 7.509 7.509 3.992
angles (deg): 90.00 90.00 120.00
Fractional positions:
Tm  0.333  0.667  0.000
Tm  0.667  0.333  0.000
Ga  0.000  0.196  0.000
Ga  0.000  0.687  0.500
Ga  0.196  0.000  0.000
Ga  0.313  0.313  0.500
Ga  0.687  0.000  0.500
Ga  0.804  0.804  0.000
Cu  0.000  0.369  0.500
Cu  0.369  0.000  0.500
Cu  0.631  0.631  0.500